Below is a relaxed structure of ZrCoSiIr, with properties calculated at the GGA-PBE level.

Cell lengths 4.429, 4.429, 4.429 Å; angles 60.00, 60.00, 60.00 degrees
Positions (direct):
Co1 0.750 0.750 0.750
Ir1 0.500 0.500 0.500
Si1 0.000 0.000 0.000
Zr1 0.250 0.250 0.250

## Properties
The volume comes out at 15.360 Å³/atom. The crystal system is cubic. The magnetic moment is 1.98 μB/f.u. The total energy is -7.655 eV per atom.